Record 1
La2ScRe at its PBEsol-relaxed geometry. Source: Alexandria, functional meta-GGA SCAN.

```
La2ScRe
1.0
3.5250 0.0000 0.0000
0.0000 3.5250 0.0000
0.0000 0.0000 8.0050
La Sc Re
2 1 1
Direct
0.0000 0.0000 0.2150
0.0000 0.0000 0.7850
0.5000 0.5000 0.5000
0.5000 0.5000 0.0000
```

Values from the calculation:
Formation enthalpy at 0 K = 1.25 eV/f.u.
ρ = 8.50 g/cm3
Uncorrected energy = -170.3 eV per cell
Relative energy among the computed polymorphs = 0 meV per atom

=====

Record 2
La2ScRe at its PBEsol-relaxed geometry. Source: Alexandria, functional meta-GGA SCAN.

```
La2ScRe
1.0
0.0000 3.5681 3.5681
3.5681 0.0000 3.5681
3.5681 3.5681 0.0000
La Sc Re
2 1 1
Direct
0.0000 0.0000 0.0000
0.2500 0.2500 0.2500
0.7500 0.7500 0.7500
0.5000 0.5000 0.5000
```

Values from the calculation:
Formation enthalpy at 0 K = 1.36 eV/f.u.
ρ = 9.30 g/cm3
Uncorrected energy = -170.2 eV per cell
Relative energy among the computed polymorphs = 26 meV per atom

=====

Record 3
LaSc2Re at its PBEsol-relaxed geometry. Source: Alexandria, functional meta-GGA SCAN.

```
LaSc2Re
1.0
3.1484 0.0000 0.0000
0.0000 4.5891 0.0000
-1.5355 0.0000 5.8759
La Sc Re
1 2 1
Direct
0.0000 0.0000 0.0000
0.3906 0.5000 0.7125
0.6094 0.5000 0.2875
0.0000 0.0000 0.5000
```

Values from the calculation:
Formation enthalpy at 0 K = 0.67 eV/f.u.
ρ = 8.12 g/cm3
Uncorrected energy = -142.0 eV per cell
Relative energy among the computed polymorphs = 21 meV per atom

=====

Record 4
LaSc2Re at its PBEsol-relaxed geometry. Source: Alexandria, functional meta-GGA SCAN.

```
LaSc2Re
1.0
-1.7372 2.4967 5.0664
1.7372 -2.4967 5.0664
1.7372 2.4967 -5.0664
La Sc Re
1 2 1
Direct
0.0000 0.0000 0.0000
0.4162 0.4162 0.0000
0.7135 0.2135 0.5000
0.2177 0.7177 0.5000
```

Values from the calculation:
Formation enthalpy at 0 K = 0.59 eV/f.u.
ρ = 7.84 g/cm3
Uncorrected energy = -142.1 eV per cell
Relative energy among the computed polymorphs = 0 meV per atom

=====

Record 5
LaScRe2 at its PBEsol-relaxed geometry. Source: Alexandria, functional meta-GGA SCAN.

```
LaScRe2
1.0
4.8211 -1.8784 0.0000
4.8211 1.8784 0.0000
-1.9382 0.0000 5.1233
La Sc Re
1 1 2
Direct
0.0000 0.0000 0.0000
0.5000 0.5000 0.5000
0.2516 0.2516 0.6368
0.7484 0.7484 0.3632
```

Values from the calculation:
Formation enthalpy at 0 K = 1.25 eV/f.u.
ρ = 9.95 g/cm3
Uncorrected energy = -198.3 eV per cell

=====

Record 6
LaYSc2Re at its PBEsol-relaxed geometry. Source: Alexandria, functional meta-GGA SCAN.

```
LaYSc2Re
1.0
5.1697 0.0000 0.0000
0.0000 5.1697 0.0000
0.0000 0.0000 5.2567
La Y Sc Re
1 1 2 1
Direct
0.0000 0.0000 0.0000
0.5000 0.5000 0.0000
0.0000 0.5000 0.5000
0.5000 0.0000 0.5000
0.0000 0.0000 0.5000
```

Values from the calculation:
Formation enthalpy at 0 K = 0.88 eV/f.u.
ρ = 5.96 g/cm3
Uncorrected energy = -169.6 eV per cell

=====

Record 7
LaReSe at its PBEsol-relaxed geometry. Source: Alexandria, functional meta-GGA SCAN.

```
LaReSe
1.0
4.3729 0.0000 0.0000
-2.1864 3.7870 0.0000
0.0000 0.0000 3.8379
La Re Se
1 1 1
Direct
0.0000 0.0000 0.0000
0.3333 0.6667 0.5000
0.6667 0.3333 0.5000
```

Values from the calculation:
Formation energy without anion corrections = -215 meV per atom
ρ = 10.56 g/cm3
Uncorrected energy = -134.9 eV per cell
Relative energy among the computed polymorphs = 0 meV per atom

=====

Record 8
LaReSe at its PBEsol-relaxed geometry. Source: Alexandria, functional meta-GGA SCAN.

```
LaReSe
1.0
0.0000 3.2124 3.2124
3.2124 0.0000 3.2124
3.2124 3.2124 0.0000
La Re Se
1 1 1
Direct
0.0000 0.0000 0.0000
0.7500 0.7500 0.7500
0.5000 0.5000 0.5000
```

Values from the calculation:
Formation energy without anion corrections = 297 meV per atom
ρ = 10.12 g/cm3
Uncorrected energy = -133.4 eV per cell
Relative energy among the computed polymorphs = 512 meV per atom